CsTlAg: relaxed, GGA-PBE.

```
CsTlAg
1.0
-3.5969 -0.8821 3.4055
3.6663 -5.2503 2.5171
3.2598 1.3947 7.5179
Cs Tl Ag
2 2 2
Direct
0.0980 0.4524 0.0783
0.3213 0.1756 0.6304
0.6142 0.9687 0.0451
0.8051 0.6595 0.6634
0.0095 0.8646 0.2543
0.4098 0.7635 0.4542
```

## Properties
Total energy = -12.12 eV/cell
Energy of formation from the pure elements = 0.00 eV per atom
M_tot = 0.000 μB per atom
Volume = 247.38 Å³/cell
DOS at the Fermi energy = 4.01 states/eV per cell